# 1
The following is a DFT calculation (PBE) of a relaxed Y3ReTc crystal.

Values from the calculation:
As for the density of states at the Fermi level: 1.64 states/eV per atom. The total energy comes out at -37.51 eV for the cell shown. The calculated volume comes out at 150 Å³/cell.

a b c (Å): 5.3110 5.3110 5.3110
angles (deg): 90.00 90.00 90.00
Closest atoms and distances in Å follow each position.
Atoms (fractional coordinates):
Y (0.0000, 0.5000, 0.0000)  2 Re 2.66
Y (0.0000, 0.0000, 0.5000)  2 Re 2.66
Y (0.5000, 0.0000, 0.0000)  2 Re 2.66
Re (0.0000, 0.0000, 0.0000)  6 Y 2.66
Tc (0.5000, 0.5000, 0.5000)  12 Y 3.76

=====

# 2
The following is a DFT calculation (PBE) of a relaxed AlRe4Mo crystal.

Values from the calculation:
As for the density of states at the Fermi level: 0.75 states/eV per atom. The total energy comes out at -62.81 eV for the cell shown. The calculated volume comes out at 97 Å³/cell.

a b c (Å): 5.1523 5.1523 5.1523
angles (deg): 60.00 60.00 60.00
Closest atoms and distances in Å follow each position.
Atoms (fractional coordinates):
Al (0.2500, 0.2500, 0.2500)  12 Re 3.02, 4 Mo 3.16
Re (0.6241, 0.6241, 0.1278)  6 Re 2.56-2.60
Re (0.6241, 0.1278, 0.6241)  6 Re 2.56-2.60
Re (0.6241, 0.6241, 0.6241)  6 Re 2.56-2.60
Re (0.1278, 0.6241, 0.6241)  6 Re 2.56-2.60
Mo (0.0000, 0.0000, 0.0000)  12 Re 3.02, 4 Al 3.16

=====

# 3
The following is a DFT calculation (PBE) of a relaxed NbAlPd5 crystal.

Values from the calculation:
As for the density of states at the Fermi level: 0.60 states/eV per atom. The total energy comes out at -80.67 eV for the cell shown. The calculated volume comes out at 259 Å³/cell.

a b c (Å): 6.6489 6.6489 6.7592
angles (deg): 68.92 68.92 87.92
Closest atoms and distances in Å follow each position.
Atoms (fractional coordinates):
Nb (0.5403, 0.4597, 0.2500)  7 Pd 2.55-2.63
Nb (0.4597, 0.5403, 0.7500)  7 Pd 2.55-2.63
Al (0.0000, 0.0000, 0.0000)  2 Pd 2.39
Al (0.0000, 0.0000, 0.5000)  2 Pd 2.39
Pd (0.6096, 0.8073, 0.3248)  2 Nb 2.61-2.63, 4 Pd 2.69-2.85, 1 Al 2.71
Pd (0.1905, 0.5894, 0.4852)  2 Nb 2.62-2.89, 6 Pd 2.71-2.85
Pd (0.8073, 0.6096, 0.8248)  2 Nb 2.61-2.63, 4 Pd 2.69-2.85, 1 Al 2.71
Pd (0.8168, 0.1832, 0.2500)  2 Al 2.39, 1 Nb 2.55
Pd (0.4106, 0.8095, 0.0148)  2 Nb 2.62-2.89, 6 Pd 2.71-2.85
Pd (0.5894, 0.1905, 0.9852)  2 Nb 2.62-2.89, 6 Pd 2.71-2.85
Pd (0.1832, 0.8168, 0.7500)  2 Al 2.39, 1 Nb 2.55
Pd (0.1927, 0.3904, 0.1752)  2 Nb 2.61-2.63, 4 Pd 2.69-2.85, 1 Al 2.71
Pd (0.8095, 0.4106, 0.5148)  2 Nb 2.62-2.89, 6 Pd 2.71-2.85
Pd (0.3904, 0.1927, 0.6752)  2 Nb 2.61-2.63, 4 Pd 2.69-2.85, 1 Al 2.71

=====

# 4
The following is a DFT calculation (PBE) of a relaxed Pm3Co5B2 crystal.

Values from the calculation:
As for the density of states at the Fermi level: 0.97 states/eV per atom. The total energy comes out at -126.00 eV for the cell shown. The calculated volume comes out at 307 Å³/cell.

a b c (Å): 5.6454 8.2232 8.2232
angles (deg): 61.11 69.92 69.92
Closest atoms and distances in Å follow each position.
Atoms (fractional coordinates):
Pm (0.2500, 0.0000, 0.0000)  4 B 2.70, 2 Pm 2.82
Pm (0.7500, 0.0000, 0.0000)  4 B 2.70, 2 Pm 2.82
Pm (0.3540, 0.4177, 0.8742)  1 B 2.68, 6 Co 2.77-2.96
Pm (0.6460, 0.5823, 0.1258)  1 B 2.68, 6 Co 2.77-2.96
Pm (0.8540, 0.8742, 0.4177)  1 B 2.68, 6 Co 2.77-2.96
Pm (0.1460, 0.1258, 0.5823)  1 B 2.68, 6 Co 2.77-2.96
Co (0.2500, 0.5000, 0.5000)  4 Co 2.42
Co (0.7500, 0.5000, 0.5000)  4 Co 2.42
Co (0.4944, 0.7556, 0.7556)  2 B 2.01
Co (0.0056, 0.2444, 0.2444)  2 B 2.01
Co (0.5056, 0.2444, 0.2444)  2 B 2.01
Co (0.9944, 0.7556, 0.7556)  2 B 2.01
Co (0.1083, 0.5560, 0.2275)  1 B 1.99
Co (0.8917, 0.4440, 0.7725)  1 B 1.99
Co (0.6083, 0.2275, 0.5560)  1 B 1.99
Co (0.3917, 0.7725, 0.4440)  1 B 1.99
B (0.1616, 0.7259, 0.9509)  3 Co 1.99-2.01
B (0.8384, 0.2741, 0.0491)  3 Co 1.99-2.01
B (0.6616, 0.9509, 0.7259)  3 Co 1.99-2.01
B (0.3384, 0.0491, 0.2741)  3 Co 1.99-2.01

=====

# 5
The following is a DFT calculation (PBE) of a relaxed OsRuPt2 crystal.

Values from the calculation:
As for the density of states at the Fermi level: 1.51 states/eV per atom. The total energy comes out at -31.96 eV for the cell shown. The calculated volume comes out at 59 Å³/cell.

a b c (Å): 4.7957 4.7957 4.7957
angles (deg): 132.26 132.26 69.82
Closest atoms and distances in Å follow each position.
Atoms (fractional coordinates):
Os (0.7500, 0.2500, 0.5000)  4 Ru 2.74, 8 Pt 2.76
Pt (0.0000, 0.0000, 0.0000)  4 Pt 2.74, 4 Os 2.76, 4 Ru 2.76
Pt (0.5000, 0.5000, 0.0000)  4 Pt 2.74, 4 Ru 2.76, 4 Os 2.76
Ru (0.2500, 0.7500, 0.5000)  4 Os 2.74, 8 Pt 2.76

=====

# 6
The following is a DFT calculation (PBE) of a relaxed CeSnHgGe crystal.

Values from the calculation:
As for the density of states at the Fermi level: 1.16 states/eV per atom. The total energy comes out at -16.67 eV for the cell shown. The calculated volume comes out at 95 Å³/cell.

a b c (Å): 4.3830 4.4555 4.8852
angles (deg): 90.00 90.00 90.00
Closest atoms and distances in Å follow each position.
Atoms (fractional coordinates):
Ce (0.5000, 0.5000, 0.0000)  4 Ge 3.12, 4 Sn 3.28, 4 Hg 3.31
Sn (0.0000, 0.5000, 0.5000)  4 Hg 3.12, 4 Ce 3.28, 4 Ge 3.31
Hg (0.5000, 0.0000, 0.5000)  4 Sn 3.12, 4 Ge 3.28, 4 Ce 3.31
Ge (0.0000, 0.0000, 0.0000)  4 Ce 3.12, 4 Hg 3.28, 4 Sn 3.31

=====

# 7
The following is a DFT calculation (PBE) of a relaxed NiAg2Ir crystal.

Values from the calculation:
As for the density of states at the Fermi level: 1.14 states/eV per atom. The total energy comes out at -19.50 eV for the cell shown. The calculated volume comes out at 61 Å³/cell.

a b c (Å): 9.3479 9.3479 9.3479
angles (deg): 17.05 17.05 17.05
Closest atoms and distances in Å follow each position.
Atoms (fractional coordinates):
Ag (0.0063, 0.0063, 0.0063)  3 Ni 2.75, 9 Ag 2.77-3.00
Ag (0.2478, 0.2478, 0.2478)  9 Ag 2.77-3.00, 3 Ir 2.94
Ir (0.4919, 0.4919, 0.4919)  3 Ni 2.54, 6 Ir 2.77
Ni (0.7540, 0.7540, 0.7540)  3 Ir 2.54, 3 Ag 2.75, 6 Ni 2.77

=====

# 8
The following is a DFT calculation (PBE) of a relaxed YTc2Br crystal.

Values from the calculation:
The formation energy (no corrections) is -0.061 eV/atom. As for the density of states at the Fermi level: 0.82 states/eV per atom. The calculated volume comes out at 100 Å³/cell.

a b c (Å): 7.4941 7.4941 7.4941
angles (deg): 31.10 31.10 31.10
Closest atoms and distances in Å follow each position.
Atoms (fractional coordinates):
Y (0.5148, 0.5148, 0.5148)  6 Tc 2.97-3.31, 3 Br 3.02
Tc (0.9588, 0.9588, 0.9588)  3 Tc 2.37
Tc (0.2684, 0.2684, 0.2684)  3 Tc 2.37
Br (0.7580, 0.7580, 0.7580)  3 Y 3.02

=====

# 9
The following is a DFT calculation (PBE) of a relaxed YTi2Ir3 crystal.

Values from the calculation:
As for the density of states at the Fermi level: 0.62 states/eV per atom. The total energy comes out at -53.77 eV for the cell shown. The calculated volume comes out at 100 Å³/cell.

a b c (Å): 3.0715 3.0715 10.6389
angles (deg): 90.00 90.00 90.00
Closest atoms and distances in Å follow each position.
Atoms (fractional coordinates):
Y (0.5000, 0.5000, 0.5000)  4 Y 3.07, 8 Ir 3.10
Ti (0.5000, 0.5000, 0.8440)  8 Ir 2.61-2.73
Ti (0.5000, 0.5000, 0.1560)  8 Ir 2.61-2.73
Ir (0.0000, 0.0000, 0.0000)  8 Ti 2.73
Ir (0.0000, 0.0000, 0.7074)  4 Ti 2.61
Ir (0.0000, 0.0000, 0.2926)  4 Ti 2.61

=====

# 10
The following is a DFT calculation (PBE) of a relaxed Sm3Y2Er7 crystal.

Values from the calculation:
As for the density of states at the Fermi level: 1.27 states/eV per atom. The total energy comes out at -57.93 eV for the cell shown. The calculated volume comes out at 384 Å³/cell.

a b c (Å): 3.5455 5.7888 18.7255
angles (deg): 93.13 90.00 90.00
Closest atoms and distances in Å follow each position.
Atoms (fractional coordinates):
Sm (0.5000, 0.5000, 0.0000)  8 Er 3.34-3.39, 2 Sm 3.55
Sm (0.0000, 0.2239, 0.3681)  2 Sm 3.55, 6 Er 3.63-3.83, 4 Y 3.68
Sm (0.0000, 0.7761, 0.6319)  2 Sm 3.55, 6 Er 3.63-3.83, 4 Y 3.68
Y (0.5000, 0.7112, 0.2923)  3 Er 3.18-3.32, 2 Y 3.55
Y (0.5000, 0.2888, 0.7077)  3 Er 3.18-3.32, 2 Y 3.55
Er (0.5000, 0.7429, 0.4624)  1 Y 3.18, 4 Er 3.21-3.55
Er (0.5000, 0.2571, 0.5376)  1 Y 3.18, 4 Er 3.21-3.55
Er (0.0000, 0.6908, 0.1424)  7 Er 3.29-3.55, 2 Y 3.32, 2 Sm 3.34
Er (0.0000, 0.0000, 0.0000)  4 Er 3.29-3.55, 4 Sm 3.39
Er (0.0000, 0.3092, 0.8576)  7 Er 3.29-3.55, 2 Y 3.32, 2 Sm 3.34
Er (0.5000, 0.8065, 0.8246)  8 Er 3.43-3.84, 2 Y 3.61-3.64, 1 Sm 3.82
Er (0.5000, 0.1935, 0.1754)  8 Er 3.43-3.84, 2 Y 3.61-3.64, 1 Sm 3.82

=====

# 11
The following is a DFT calculation (PBE) of a relaxed Sc2MnTeC crystal.

Values from the calculation:
The formation energy (no corrections) is -0.484 eV/atom. As for the density of states at the Fermi level: 0.87 states/eV per atom. The calculated volume comes out at 85 Å³/cell.

a b c (Å): 4.6808 4.6808 3.8875
angles (deg): 90.00 90.00 90.00
Closest atoms and distances in Å follow each position.
Atoms (fractional coordinates):
Sc (0.0000, 0.5000, 0.0000)  2 C 2.34
Sc (0.5000, 0.0000, 0.0000)  2 C 2.34
C (0.0000, 0.0000, 0.0000)  2 Mn 1.94
Te (0.5000, 0.5000, 0.5000)  8 Sc 3.04, 4 Mn 3.31
Mn (0.0000, 0.0000, 0.5000)  2 C 1.94

=====

# 12
The following is a DFT calculation (PBE) of a relaxed La3PrTh2P6 crystal.

Values from the calculation:
As for the density of states at the Fermi level: 0.21 states/eV per atom. The total energy comes out at -85.94 eV for the cell shown. The calculated volume comes out at 318 Å³/cell.

a b c (Å): 7.2958 7.2958 7.3077
angles (deg): 99.56 99.56 120.03
Closest atoms and distances in Å follow each position.
Atoms (fractional coordinates):
La (0.1655, 0.8345, 0.5000)  6 P 2.99-3.03
La (0.8345, 0.1655, 0.5000)  6 P 2.99-3.03
La (0.5000, 0.5000, 0.5000)  6 P 2.98-3.03
Pr (0.0000, 0.0000, 0.0000)  6 P 2.98
Th (0.3331, 0.6669, 0.0000)  6 P 2.93-2.94
Th (0.6669, 0.3331, 0.0000)  6 P 2.93-2.94
P (0.9192, 0.5810, 0.7580)  2 Th 2.93, 1 Pr 2.98, 3 La 2.99-3.03
P (0.7421, 0.7421, 0.2418)  2 Th 2.94, 1 Pr 2.98, 3 La 2.98-3.02
P (0.0808, 0.4190, 0.2420)  2 Th 2.93, 1 Pr 2.98, 3 La 2.99-3.03
P (0.5810, 0.9192, 0.7580)  2 Th 2.93, 1 Pr 2.98, 3 La 2.99-3.03
P (0.2579, 0.2579, 0.7582)  2 Th 2.94, 1 Pr 2.98, 3 La 2.98-3.02
P (0.4190, 0.0808, 0.2420)  2 Th 2.93, 1 Pr 2.98, 3 La 2.99-3.03